RbZrAl: relaxed, GGA-PBE.

a b c (Å): 4.2375 4.2375 14.6843
angles (deg): 98.11 64.22 90.00
With the nearest neighbours (Å) after each atom.
Atoms (fractional coordinates):
Zr1 0.7413 0.9060 0.2824  4 Al 2.90, 4 Zr 3.00
Zr2 0.2505 0.4029 0.2763  4 Al 2.85, 4 Zr 3.00
Al1 0.9703 0.3318 0.1305  4 Zr 2.85-2.90, 4 Al 3.00
Al2 0.4702 0.8316 0.1305  4 Zr 2.85-2.90, 4 Al 3.00
Rb1 0.8358 0.2122 0.8885  4 Al 3.80-3.81, 4 Rb 4.24
Rb2 0.8288 0.5468 0.5556  1 Zr 3.65

Summary:
* distance to the lowest polymorph of the same formula: 195 meV per atom
* total magnetic moment: 0.000 μB per formula unit
* ΔE_f: 0.218 eV/atom
* ρ: 2.9 g/cm³